1.
# PrNi12B6

A relaxed structure of PrNi12B6 (GGA-PBEsol, the Alexandria database).

Properties
E_tot	-259.29	eV for the cell shown
formation energy	-0.4458	eV/atom
DOS at the Fermi energy	8.515	states/eV/f.u.

Cell: 5.979 5.979 10.931 Å, 90.00 90.00 104.65°
Sites, in units of the cell vectors:
1 Ni 0.432 0.432 0.583
2 Ni 0.855 0.121 0.746
3 Ni 0.459 0.196 0.765
4 Ni 0.995 0.630 0.063
5 Ni 0.274 0.657 0.433
6 Ni 0.541 0.804 0.265
7 Ni 0.726 0.343 0.933
8 Ni 0.526 0.790 0.725
9 Ni 0.474 0.210 0.225
10 Ni 0.210 0.474 0.225
11 Ni 0.343 0.726 0.933
12 Ni 0.145 0.879 0.246
13 Ni 0.779 0.779 0.901
14 Ni 0.370 0.005 0.563
15 Ni 0.657 0.274 0.433
16 Ni 0.196 0.459 0.765
17 Ni 0.005 0.370 0.563
18 Ni 0.630 0.995 0.063
19 Ni 0.568 0.568 0.083
20 Ni 0.121 0.855 0.746
21 Ni 0.804 0.541 0.265
22 Ni 0.879 0.145 0.246
23 Ni 0.221 0.221 0.401
24 Ni 0.790 0.526 0.725
25 B 0.514 0.514 0.841
26 B 0.245 0.675 0.615
27 B 0.401 0.987 0.378
28 B 0.987 0.401 0.378
29 B 0.836 0.836 0.164
30 B 0.599 0.013 0.878
31 B 0.013 0.599 0.878
32 B 0.755 0.325 0.115
33 B 0.486 0.486 0.341
34 B 0.675 0.245 0.615
35 B 0.325 0.755 0.115
36 B 0.164 0.164 0.664
37 Pr 0.167 0.167 0.001
38 Pr 0.833 0.833 0.501

=====

2.
# Pr2Ni5B4

A relaxed structure of Pr2Ni5B4 (GGA-PBEsol, the Alexandria database).

Properties
E_tot	-74.61	eV for the cell shown
formation energy	-0.4897	eV/atom
DOS at the Fermi energy	5.179	states/eV/f.u.

Cell: 5.056 5.479 6.088 Å, 70.83 65.46 62.52°
Sites, in units of the cell vectors:
1 B 0.599 0.942 0.860
2 B 0.401 0.058 0.140
3 B 0.221 0.399 0.159
4 B 0.779 0.601 0.841
5 Ni 0.000 0.500 0.500
6 Ni 0.327 0.723 0.126
7 Ni 0.823 0.723 0.126
8 Ni 0.177 0.277 0.874
9 Ni 0.673 0.277 0.874
10 Pr 0.275 0.803 0.647
11 Pr 0.725 0.197 0.353

=====

3.
# NiBPt3

A relaxed structure of NiBPt3 (GGA-PBEsol, the Alexandria database).

Properties
E_tot	-24.37	eV for the cell shown
formation energy	1.9398	eV/atom
DOS at the Fermi energy	8.040	states/eV/f.u.

Cell: 4.453 4.453 4.453 Å, 90.00 90.00 90.00°
Site moments in Bohr magnetons follow the coordinates.
Sites, in units of the cell vectors:
1 Pt 0.500 0.000 0.000  0.04
2 Pt 0.000 0.500 0.000  0.04
3 Pt 0.000 0.000 0.500  0.04
4 B 0.500 0.500 0.500  -0.01
5 Ni 0.000 0.000 0.000  0.27

=====

4.
# RbNiB2Rh

A relaxed structure of RbNiB2Rh (GGA-PBEsol, the Alexandria database).

Properties
E_tot	-25.08	eV for the cell shown
formation energy	0.8545	eV/atom
DOS at the Fermi energy	5.029	states/eV/f.u.

Cell: 4.098 4.098 4.877 Å, 90.00 90.00 90.00°
Site moments in Bohr magnetons follow the coordinates.
Sites, in units of the cell vectors:
1 B 0.500 0.000 0.000  0.01
2 B 0.000 0.500 0.000  0.01
3 Rh 0.000 0.000 0.000  0.15
4 Rb 0.500 0.500 0.500  -0.01
5 Ni 0.000 0.000 0.500  0.93

=====

Total magnetization values (in μB per formula unit) by entry order: 0.000; 0.000; 0.397; 1.099.